CuSiTe2N | PBEsol | relaxed

a = 5.2425 Å, b = 5.2425 Å, c = 3.5168 Å
α = 90.00°, β = 90.00°, γ = 90.00°
Last column: nearest neighbours and their distance in Å.
Space group P4/mmm (No. 123)
Unique sites:
Cu 0.0000 0.0000 0.0000 x1  2 N 1.76
Si 0.5000 0.5000 0.5000 x1  8 Te 3.16, 2 Si 3.52
Te 0.0000 0.5000 0.0000 x2  2 Cu 2.62
N 0.0000 0.0000 0.5000 x1  2 Cu 1.76

Computed properties:
Its raw total energy is -4.302 eV per atom. Its volume is 96.7 Å³/f.u. For the density of states at the Fermi level, the calculation gives 3.5 states/eV/f.u. As for the raw formation energy: 0.83 eV/atom.